(1)
Density functional theory data (PBE) for a geometry-optimized GaAg3Pd3O8 structure.

Structure (CIF):
```
data_GaAg3Pd3O8
_symmetry_space_group_name_H-M 'P 1'
_symmetry_Int_Tables_number 1
_cell_length_a 6.2826
_cell_length_b 6.2194
_cell_length_c 9.2958
_cell_angle_alpha 129.08
_cell_angle_beta 90.00
_cell_angle_gamma 120.34
loop_
_symmetry_equiv_pos_as_xyz
'x,y,z'
loop_
_atom_site_label
_atom_site_type_symbol
_atom_site_fract_x
_atom_site_fract_y
_atom_site_fract_z
Ga1 Ga 0.0000 0.0000 0.5000
O1 O 0.2570 0.5141 0.6488
Ag1 Ag 0.0000 0.0000 0.0000
O2 O 0.2237 0.9521 0.3344
O3 O 0.7430 0.4859 0.3512
O4 O 0.7763 0.0479 0.6656
Pd1 Pd 0.5000 0.5000 0.5000
O5 O 0.2716 0.0479 0.6656
Ag2 Ag 0.5000 0.5000 0.0000
Pd2 Pd 0.0000 0.5000 0.5000
Pd3 Pd 0.5000 0.0000 0.5000
O6 O 0.7284 0.9521 0.3344
Ag3 Ag 0.0000 0.5000 0.0000
O7 O 0.7738 0.5476 0.6702
O8 O 0.2262 0.4524 0.3298
```

=====

(2)
Density functional theory data (PBE) for a geometry-optimized VAgTe2 structure.

Structure (CIF):
```
data_VAgTe2
_symmetry_space_group_name_H-M 'P 1'
_symmetry_Int_Tables_number 1
_cell_length_a 6.2798
_cell_length_b 6.2798
_cell_length_c 7.7101
_cell_angle_alpha 65.97
_cell_angle_beta 65.97
_cell_angle_gamma 90.00
loop_
_symmetry_equiv_pos_as_xyz
'x,y,z'
loop_
_atom_site_label
_atom_site_type_symbol
_atom_site_fract_x
_atom_site_fract_y
_atom_site_fract_z
Te1 Te 0.1493 0.6250 0.2500
Te2 Te 0.6007 0.1250 0.2500
V1 V 0.5000 0.5000 0.0000
Te3 Te 0.8750 0.8507 0.7500
V2 V 0.2500 0.7500 0.5000
Ag1 Ag 0.0000 0.0000 0.0000
Ag2 Ag 0.7500 0.2500 0.5000
Te4 Te 0.3750 0.3993 0.7500
```

=====

(3)
Density functional theory data (PBE) for a geometry-optimized TaCuSb structure.

Structure (CIF):
```
data_TaCuSb
_symmetry_space_group_name_H-M 'P 1'
_symmetry_Int_Tables_number 1
_cell_length_a 4.5537
_cell_length_b 4.5537
_cell_length_c 2.9236
_cell_angle_alpha 90.00
_cell_angle_beta 90.00
_cell_angle_gamma 120.00
loop_
_symmetry_equiv_pos_as_xyz
'x,y,z'
loop_
_atom_site_label
_atom_site_type_symbol
_atom_site_fract_x
_atom_site_fract_y
_atom_site_fract_z
Sb1 Sb 0.6667 0.3333 0.1667
Ta1 Ta 0.3333 0.6667 0.6666
Cu1 Cu 0.0000 0.0000 0.1667
```

=====

no.,ΔE_f (raw) (eV/atom),size of the total moment (μB per atom)
1,-0.51,0.00
2,-0.06,0.50
3,0.36,0.00